Entry 1:
Here is a relaxed structure of CaLa2Tc from the Alexandria database. Energies are from GGA-PBE.

Unit cell a=8.096 b=8.096 c=7.870 alpha=59.05 beta=59.05 gamma=90.00
Atoms (fractional coordinates):
Ca 0.500 0.500 0.000
Ca 0.250 0.750 0.500
Tc 0.000 0.000 0.000
Tc 0.750 0.250 0.500
La 0.799 0.125 0.250
La 0.951 0.625 0.250
La 0.375 0.201 0.750
La 0.875 0.049 0.750

Values from the calculation:
- symmetry = No. 122
- calculated volume (Å³ per atom) = 44.24
- mass density (Mg/m³) = 3.9
- energy above the lowest structure with this stoichiometry (kJ/mol of formula units) = 124
- energy of formation (meV per atom) = 392
- electronic total energy (eV/atom) = -5.16



Entry 2:
Here is a relaxed structure of Nb2Ga4Ni from the Alexandria database. Energies are from GGA-PBE.

Unit cell a=4.558 b=4.558 c=7.180 alpha=71.49 beta=71.49 gamma=90.00
Atoms (fractional coordinates):
Ni 0.000 0.000 0.000
Nb 0.390 0.390 0.219
Nb 0.610 0.610 0.781
Ga 0.184 0.184 0.632
Ga 0.816 0.816 0.368
Ga 0.000 0.500 0.000
Ga 0.500 0.000 0.000

Values from the calculation:
- symmetry = No. 139
- calculated volume (Å³ per atom) = 19.04
- mass density (Mg/m³) = 6.5
- energy of formation (meV per atom) = 256
- electronic total energy (eV/atom) = -5.18



Entry 3:
Here is a relaxed structure of LiU2I8 from the Alexandria database. Energies are from GGA-PBE.

Unit cell a=8.085 b=8.620 c=8.620 alpha=76.92 beta=70.38 gamma=70.38
Last column: magnetic moment on the atom in μB.
Atoms (fractional coordinates):
Li 0.000 0.000 0.000  0.00
U 0.524 0.904 0.904  0.58
U 0.476 0.096 0.096  0.58
I 0.238 0.240 0.854  -0.01
I 0.762 0.146 0.760  -0.01
I 0.285 0.783 0.783  -0.01
I 0.715 0.217 0.217  -0.01
I 0.238 0.854 0.240  -0.01
I 0.762 0.760 0.146  -0.01
I 0.818 0.682 0.682  -0.02
I 0.182 0.318 0.318  -0.02

Values from the calculation:
- symmetry = No. 12
- calculated volume (Å³ per atom) = 48.05
- mass density (Mg/m³) = 4.7
- energy above the lowest structure with this stoichiometry (kJ/mol of formula units) = 0
- electronic total energy (eV/atom) = -4.16
- formation energy from raw total energies (eV per atom) = -0.8045



Entry 4:
Here is a relaxed structure of Tb6Fe2Bi from the Alexandria database. Energies are from GGA-PBE.

Unit cell a=8.519 b=8.519 c=8.519 alpha=107.35 beta=110.92 gamma=110.17
Last column: magnetic moment on the atom in μB.
Atoms (fractional coordinates):
Tb 0.528 0.814 0.714  -0.10
Tb 0.472 0.186 0.286  -0.10
Tb 0.101 0.814 0.286  -0.10
Tb 0.899 0.186 0.714  -0.10
Tb 0.779 0.010 0.231  0.00
Tb 0.221 0.990 0.769  0.00
Tb 0.221 0.452 0.231  0.00
Tb 0.779 0.548 0.769  0.00
Tb 0.696 0.314 0.010  0.04
Tb 0.304 0.686 0.990  0.04
Tb 0.304 0.314 0.618  0.04
Tb 0.696 0.686 0.382  0.04
Fe 0.500 0.107 0.607  1.22
Fe 0.500 0.893 0.393  1.22
Fe 0.611 0.611 0.000  -0.89
Fe 0.389 0.389 0.000  -0.89
Bi 0.000 0.500 0.500  0.01
Bi 0.000 0.000 0.000  0.00

Values from the calculation:
- symmetry = No. 71
- calculated volume (Å³ per atom) = 26.41
- mass density (Mg/m³) = 8.9
- energy of formation (meV per atom) = -201
- electronic total energy (eV/atom) = -5.60



Entry 5:
Here is a relaxed structure of YNi2BOs from the Alexandria database. Energies are from GGA-PBE.

Unit cell a=4.069 b=4.069 c=4.144 alpha=90.00 beta=90.00 gamma=90.00
Atoms (fractional coordinates):
Y 0.500 0.500 0.500
Ni 0.000 0.500 0.000
Ni 0.500 0.000 0.000
B 0.000 0.000 0.000
Os 0.000 0.000 0.500

Values from the calculation:
- symmetry = No. 123
- calculated volume (Å³ per atom) = 13.72
- mass density (Mg/m³) = 9.9
- energy of formation (meV per atom) = -346
- electronic total energy (eV/atom) = -7.53



Entry 6:
Here is a relaxed structure of Na3ZrB from the Alexandria database. Energies are from GGA-PBE.

Unit cell a=4.988 b=4.988 c=4.988 alpha=90.00 beta=90.00 gamma=90.00
Atoms (fractional coordinates):
Na 0.000 0.500 0.000
Na 0.000 0.000 0.500
Na 0.500 0.000 0.000
B 0.000 0.000 0.000
Zr 0.500 0.500 0.500

Values from the calculation:
- symmetry = No. 221
- calculated volume (Å³ per atom) = 24.82
- mass density (Mg/m³) = 2.3
- energy above the lowest structure with this stoichiometry (kJ/mol of formula units) = 0
- energy of formation (meV per atom) = 1351
- electronic total energy (eV/atom) = -2.49